## BaYNO2 (meta-GGA SCAN)

Data for a PBEsol-optimized structure of BaYNO2.

Output
Its uncorrected formation energy is -968.1 kJ/mol of formula units. Its magnetization is 2.0 μB per cell. The space-group type is No. 123. The calculation puts the density of states at the Fermi level at 0.45 states/eV per atom.

The structure in POSCAR format:
```
BaYNO2
1.0
4.386 0.000 0.000
0.000 4.386 0.000
0.000 0.000 4.492
Ba Y N O
1 1 1 2
direct
0.000 0.000 0.000
0.500 0.500 0.500
0.500 0.500 0.000
0.000 0.500 0.500
0.500 0.000 0.500
```

## Ba3ZnN2O (meta-GGA SCAN)

Data for a PBEsol-optimized structure of Ba3ZnN2O.

Output
Its uncorrected formation energy is -805.0 kJ/mol of formula units. Its magnetization is 0.0 μB per cell. The space-group type is No. 123.

The structure in POSCAR format:
```
Ba3ZnN2O
1.0
4.082 0.000 0.000
0.000 4.082 0.000
0.000 0.000 9.162
Ba Zn N O
3 1 2 1
direct
0.000 0.000 0.000
0.500 0.500 0.283
0.500 0.500 0.717
0.000 0.000 0.500
0.000 0.000 0.300
0.000 0.000 0.700
0.500 0.500 0.000
```

## BaOsN2 (meta-GGA SCAN)

Data for a PBEsol-optimized structure of BaOsN2.

Output
Its uncorrected formation energy is 568.7 kJ/mol of formula units. Its magnetization is 0.0 μB per cell. The space-group type is No. 225. The calculation puts the density of states at the Fermi level at 0.17 states/eV per atom.

The structure in POSCAR format:
```
BaOsN2
1.0
0.000 3.003 3.003
3.003 0.000 3.003
3.003 3.003 0.000
Ba Os N
1 1 2
direct
0.000 0.000 0.000
0.500 0.500 0.500
0.250 0.250 0.250
0.750 0.750 0.750
```

## Ba3OsN3 (meta-GGA SCAN)

Data for a PBEsol-optimized structure of Ba3OsN3.

Output
Its uncorrected formation energy is -442.2 kJ/mol of formula units. Its magnetization is 3.7 μB per cell. The space-group type is No. 176. The calculation puts the density of states at the Fermi level at 0.30 states/eV per atom.

The structure in POSCAR format:
```
Ba3OsN3
1.0
8.113 0.000 0.000
-4.057 7.026 0.000
0.000 0.000 5.574
Ba Os N
6 2 6
direct
0.099 0.363 0.250
0.263 0.901 0.250
0.363 0.263 0.750
0.637 0.737 0.250
0.737 0.099 0.750
0.901 0.637 0.750
0.333 0.667 0.750
0.667 0.333 0.250
0.116 0.431 0.750
0.316 0.884 0.750
0.431 0.316 0.250
0.569 0.684 0.750
0.684 0.116 0.250
0.884 0.569 0.250
```

## BaZrOsN2 (meta-GGA SCAN)

Data for a PBEsol-optimized structure of BaZrOsN2.

Output
Its uncorrected formation energy is 1141.2 kJ/mol of formula units. Its magnetization is 1.1 μB per cell. The space-group type is No. 123. The calculation puts the density of states at the Fermi level at 0.72 states/eV per atom.

The structure in POSCAR format:
```
BaZrOsN2
1.0
4.231 0.000 0.000
0.000 4.231 0.000
0.000 0.000 5.375
Ba Zr Os N
1 1 1 2
direct
0.000 0.000 0.000
0.500 0.500 0.500
0.000 0.000 0.500
0.000 0.500 0.000
0.500 0.000 0.000
```

## BaP2N4 (meta-GGA SCAN)

Data for a PBEsol-optimized structure of BaP2N4.

Output
Its uncorrected formation energy is -759.2 kJ/mol of formula units. Its magnetization is 0.0 μB per cell. The space-group type is No. 205. The calculation puts the density of states at the Fermi level at 0.00 states/eV per atom.

The structure in POSCAR format:
```
BaP2N4
1.0
10.241 0.000 0.000
0.000 10.241 0.000
0.000 0.000 10.241
Ba P N
12 24 48
direct
0.000 0.000 0.000
0.000 0.500 0.500
0.132 0.632 0.868
0.132 0.868 0.368
0.368 0.132 0.868
0.368 0.368 0.368
0.500 0.000 0.500
0.500 0.500 0.000
0.632 0.632 0.632
0.632 0.868 0.132
0.868 0.132 0.632
0.868 0.368 0.132
0.108 0.186 0.335
0.108 0.314 0.835
0.165 0.608 0.186
0.165 0.892 0.686
0.186 0.165 0.608
0.186 0.335 0.108
0.314 0.665 0.608
0.314 0.835 0.108
0.335 0.108 0.186
0.335 0.392 0.686
0.392 0.686 0.335
0.392 0.814 0.835
0.608 0.186 0.165
0.608 0.314 0.665
0.665 0.608 0.314
0.665 0.892 0.814
0.686 0.165 0.892
0.686 0.335 0.392
0.814 0.665 0.892
0.814 0.835 0.392
0.835 0.108 0.314
0.835 0.392 0.814
0.892 0.686 0.165
0.892 0.814 0.665
0.009 0.591 0.220
0.009 0.909 0.720
0.091 0.220 0.491
0.091 0.280 0.991
0.112 0.178 0.751
0.112 0.322 0.251
0.178 0.749 0.612
0.178 0.751 0.112
0.220 0.009 0.591
0.220 0.491 0.091
0.249 0.612 0.322
0.249 0.888 0.822
0.251 0.112 0.322
0.251 0.388 0.822
0.280 0.509 0.591
0.280 0.991 0.091
0.322 0.249 0.612
0.322 0.251 0.112
0.388 0.678 0.751
0.388 0.822 0.251
0.409 0.720 0.491
0.409 0.780 0.991
0.491 0.091 0.220
0.491 0.409 0.720
0.509 0.591 0.280
0.509 0.909 0.780
0.591 0.220 0.009
0.591 0.280 0.509
0.612 0.178 0.749
0.612 0.322 0.249
0.678 0.749 0.888
0.678 0.751 0.388
0.720 0.009 0.909
0.720 0.491 0.409
0.749 0.612 0.178
0.749 0.888 0.678
0.751 0.112 0.178
0.751 0.388 0.678
0.780 0.509 0.909
0.780 0.991 0.409
0.822 0.249 0.888
0.822 0.251 0.388
0.888 0.678 0.749
0.888 0.822 0.249
0.909 0.720 0.009
0.909 0.780 0.509
0.991 0.091 0.280
0.991 0.409 0.780
```

## BaPN2 (meta-GGA SCAN)

Data for a PBEsol-optimized structure of BaPN2.

Output
Its uncorrected formation energy is -171.5 kJ/mol of formula units. Its magnetization is 0.0 μB per cell. The space-group type is No. 166. The calculation puts the density of states at the Fermi level at 0.32 states/eV per atom.

The structure in POSCAR format:
```
BaPN2
1.0
2.172 1.254 5.637
-2.172 1.254 5.637
0.000 -2.508 5.637
Ba P N
1 1 2
direct
0.000 0.000 0.000
0.500 0.500 0.500
0.409 0.409 0.409
0.591 0.591 0.591
```

## BaPSe2N (meta-GGA SCAN)

Data for a PBEsol-optimized structure of BaPSe2N.

Output
Its uncorrected formation energy is -143.5 kJ/mol of formula units. Its magnetization is 0.0 μB per cell. The space-group type is No. 123. Its offset from the most stable computed form is 0 meV per atom. The calculation puts the density of states at the Fermi level at 0.59 states/eV per atom.

The structure in POSCAR format:
```
BaPSe2N
1.0
5.343 0.000 0.000
0.000 5.343 0.000
0.000 0.000 3.515
Ba P Se N
1 1 2 1
direct
0.000 0.000 0.000
0.500 0.500 0.500
0.000 0.500 0.500
0.500 0.000 0.500
0.500 0.500 0.000
```

## BaPSe2N (meta-GGA SCAN)

Data for a PBEsol-optimized structure of BaPSe2N.

Output
Its uncorrected formation energy is 623.0 kJ/mol of formula units. Its magnetization is 3.2 μB per cell. The space-group type is No. 123. Its offset from the most stable computed form is 1589 meV per atom. The calculation puts the density of states at the Fermi level at 1.01 states/eV per atom.

The structure in POSCAR format:
```
BaPSe2N
1.0
6.074 0.000 0.000
0.000 6.074 0.000
0.000 0.000 5.077
Ba P Se N
1 1 2 1
direct
0.000 0.000 0.000
0.500 0.500 0.500
0.000 0.500 0.000
0.500 0.000 0.000
0.000 0.000 0.500
```

## Ba3PdN (meta-GGA SCAN)

Data for a PBEsol-optimized structure of Ba3PdN.

Output
Its uncorrected formation energy is 286.3 kJ/mol of formula units. Its magnetization is 0.0 μB per cell. The space-group type is No. 221. The calculation puts the density of states at the Fermi level at 0.46 states/eV per atom.

The structure in POSCAR format:
```
Ba3PdN
1.0
5.804 0.000 0.000
0.000 5.804 0.000
0.000 0.000 5.804
Ba Pd N
3 1 1
direct
0.000 0.000 0.500
0.000 0.500 0.000
0.500 0.000 0.000
0.000 0.000 0.000
0.500 0.500 0.500
```

## BaPtN2 (meta-GGA SCAN)

Data for a PBEsol-optimized structure of BaPtN2.

Output
Its uncorrected formation energy is 486.2 kJ/mol of formula units. Its magnetization is 0.0 μB per cell. The space-group type is No. 225. Its offset from the most stable computed form is 1345 meV per atom. The calculation puts the density of states at the Fermi level at 0.83 states/eV per atom.

The structure in POSCAR format:
```
BaPtN2
1.0
0.000 3.084 3.084
3.084 0.000 3.084
3.084 3.084 0.000
Ba Pt N
1 1 2
direct
0.000 0.000 0.000
0.500 0.500 0.500
0.250 0.250 0.250
0.750 0.750 0.750
```

The highest magnetization belongs to which entry?
Ba3OsN3

Which value of uncorrected formation energy does entry 9 give?
623.0 kJ/mol of formula units